Below is an optimized crystal structure of Li2OsO3, with properties calculated at the GGA-PBE level.

Cell and atoms, written as POSCAR:
```
Li2OsO3
1.0
2.6011 -4.3082 0.0000
2.6011 4.3082 0.0000
-1.7602 0.0000 4.6205
Li Os O
4 2 6
Direct
0.0803 0.9197 0.7500 Li
0.2429 0.7571 0.2500 Li
0.7571 0.2429 0.7500 Li
0.9197 0.0803 0.2500 Li
0.4133 0.5867 0.7500 Os
0.5867 0.4133 0.2500 Os
0.0000 0.5000 0.5000 O
0.1755 0.3403 0.0019 O
0.3403 0.1755 0.5019 O
0.5000 0.0000 0.0000 O
0.6597 0.8245 0.4981 O
0.8245 0.6597 0.9981 O
```

Results
* electronic total energy: -76.76 eV per cell

Below is an optimized crystal structure of LiOsO4, with properties calculated at the GGA-PBE level.

Cell and atoms, written as POSCAR:
```
LiOsO4
1.0
9.0379 0.0000 0.0000
0.0000 3.1584 0.0000
-0.4350 0.0000 9.0172
Li Os O
4 4 16
Direct
0.2504 0.0000 0.0000 Li
0.2504 0.0000 0.5000 Li
0.7496 0.0000 0.0000 Li
0.7496 0.0000 0.5000 Li
0.0000 0.4030 0.2500 Os
0.0000 0.5970 0.7500 Os
0.5000 0.4031 0.2500 Os
0.5000 0.5969 0.7500 Os
0.0947 0.0192 0.6549 O
0.0947 0.9808 0.1549 O
0.1393 0.4749 0.8893 O
0.1393 0.5251 0.3893 O
0.3606 0.4750 0.6109 O
0.3606 0.5250 0.1109 O
0.4050 0.0195 0.8455 O
0.4050 0.9805 0.3455 O
0.5950 0.0195 0.6545 O
0.5950 0.9805 0.1545 O
0.6394 0.4750 0.8891 O
0.6394 0.5250 0.3891 O
0.8607 0.4749 0.6107 O
0.8607 0.5251 0.1107 O
0.9053 0.0192 0.8451 O
0.9053 0.9808 0.3451 O
```

Results
* excess energy over the best structure of this formula in the dataset: 0.068 eV/atom

Below is an optimized crystal structure of Li4Os4O11, with properties calculated at the GGA-PBE level.

Cell and atoms, written as POSCAR:
```
Li4Os4O11
1.0
5.0481 0.0000 0.0000
0.0000 7.2349 0.0000
-0.0066 0.0000 5.2390
Li Os O
4 4 11
Direct
0.0000 0.0000 0.0000 Li
0.0096 0.5000 0.0969 Li
0.4868 0.5000 0.5741 Li
0.5037 0.0000 0.4856 Li
0.4931 0.2588 0.0355 Os
0.4931 0.7412 0.0355 Os
0.9960 0.2497 0.5341 Os
0.9960 0.7503 0.5341 Os
0.1327 0.0000 0.5890 O
0.1824 0.3185 0.8463 O
0.1824 0.6815 0.8463 O
0.3216 0.3206 0.3528 O
0.3216 0.6794 0.3528 O
0.3681 0.0000 0.1106 O
0.6824 0.2033 0.7303 O
0.6824 0.7967 0.7303 O
0.8250 0.1954 0.2123 O
0.8250 0.8046 0.2123 O
0.8611 0.5000 0.4924 O
```

Results
* excess energy over the best structure of this formula in the dataset: 0.003 eV/atom

Below is an optimized crystal structure of LiOsO3, with properties calculated at the GGA-PBE level.

Cell and atoms, written as POSCAR:
```
LiOsO3
1.0
5.2292 0.0000 0.0000
0.0000 7.2840 0.0000
0.0000 0.0000 5.0188
Li Os O
4 4 12
Direct
0.0501 0.2500 0.0161 Li
0.4499 0.7500 0.5161 Li
0.5501 0.2500 0.4839 Li
0.9499 0.7500 0.9839 Li
0.0000 0.0000 0.5000 Os
0.0000 0.5000 0.5000 Os
0.5000 0.0000 0.0000 Os
0.5000 0.5000 0.0000 Os
0.0323 0.7500 0.3634 O
0.1843 0.5668 0.8229 O
0.1843 0.9332 0.8229 O
0.3157 0.0668 0.3229 O
0.3157 0.4332 0.3229 O
0.4677 0.2500 0.8634 O
0.5323 0.7500 0.1366 O
0.6843 0.5668 0.6771 O
0.6843 0.9332 0.6771 O
0.8157 0.0668 0.1771 O
0.8157 0.4332 0.1771 O
0.9677 0.2500 0.6366 O
```

Results
* electronic total energy: -138.00 eV per cell

Below is an optimized crystal structure of LiOsO3, with properties calculated at the GGA-PBE level.

Cell and atoms, written as POSCAR:
```
LiOsO3
1.0
2.5978 1.4999 4.5592
-2.5978 1.4999 4.5592
0.0000 -2.9997 4.5592
Li Os O
2 2 6
Direct
0.1348 0.1348 0.1348 Li
0.8652 0.8652 0.8652 Li
0.3382 0.3382 0.3382 Os
0.6618 0.6618 0.6618 Os
0.0681 0.4497 0.7149 O
0.2851 0.9319 0.5503 O
0.4497 0.7149 0.0681 O
0.5503 0.2851 0.9319 O
0.7149 0.0681 0.4497 O
0.9319 0.5503 0.2851 O
```

Results
* electronic total energy: -68.06 eV per cell

Below is an optimized crystal structure of Li4Os4O11, with properties calculated at the GGA-PBE level.

Cell and atoms, written as POSCAR:
```
Li4Os4O11
1.0
5.0047 0.0000 0.0000
0.0964 5.1963 0.0000
0.0426 0.0281 7.3113
Li Os O
4 4 11
Direct
0.0000 0.0000 0.0000 Li
0.0220 0.8842 0.5089 Li
0.5108 0.4021 0.4963 Li
0.5384 0.4990 0.9956 Li
0.0262 0.4411 0.2492 Os
0.0317 0.4450 0.7508 Os
0.5099 0.9614 0.7498 Os
0.5217 0.9447 0.2488 Os
0.1640 0.3957 0.9976 O
0.1929 0.1225 0.3337 O
0.3252 0.6523 0.6756 O
0.3433 0.6280 0.3049 O
0.3780 0.9139 0.9969 O
0.6400 0.9886 0.4976 O
0.6996 0.2602 0.1766 O
0.7191 0.2514 0.8017 O
0.8433 0.7566 0.1784 O
0.8457 0.7650 0.8151 O
0.8914 0.4757 0.4983 O
```

Results
* excess energy over the best structure of this formula in the dataset: 0.000 eV/atom

Below is an optimized crystal structure of Li6Os4O11, with properties calculated at the GGA-PBE level.

Cell and atoms, written as POSCAR:
```
Li6Os4O11
1.0
4.8349 0.0000 0.0000
0.7216 5.0178 0.0000
0.1850 2.1004 8.5676
Li Os O
6 4 11
Direct
0.0000 0.0000 0.0000 Li
0.0023 0.9966 0.3561 Li
0.2585 0.4929 0.9291 Li
0.4959 0.0015 0.5117 Li
0.5022 0.9952 0.8456 Li
0.7304 0.4879 0.4361 Li
0.2075 0.4993 0.6054 Os
0.2552 0.4990 0.2425 Os
0.7356 0.5040 0.1211 Os
0.7812 0.4979 0.7565 Os
0.0981 0.2550 0.1339 O
0.1217 0.2928 0.4496 O
0.1313 0.2363 0.8047 O
0.3461 0.7127 0.4044 O
0.3735 0.7585 0.0581 O
0.3972 0.7170 0.7245 O
0.5916 0.2812 0.6347 O
0.6276 0.2414 0.3100 O
0.6435 0.2843 0.9505 O
0.8598 0.7580 0.5529 O
0.8702 0.7126 0.9096 O
```

Results
* excess energy over the best structure of this formula in the dataset: 0.013 eV/atom

Below is an optimized crystal structure of LiOs2O6, with properties calculated at the GGA-PBE level.

Cell and atoms, written as POSCAR:
```
LiOs2O6
1.0
2.5301 -4.2474 0.0000
2.5301 4.2474 0.0000
-1.4165 0.0000 4.8014
Li Os O
1 2 6
Direct
0.0000 0.0000 0.0000 Li
0.4974 0.5026 0.5000 Os
0.7882 0.2118 0.5000 Os
0.0823 0.4200 0.2863 O
0.1992 0.2787 0.7078 O
0.4291 0.1431 0.2219 O
0.5800 0.9177 0.7137 O
0.7213 0.8008 0.2922 O
0.8569 0.5709 0.7781 O
```

Results
* excess energy over the best structure of this formula in the dataset: 0.000 eV/atom

Below is an optimized crystal structure of Li8OsO6, with properties calculated at the GGA-PBE level.

Cell and atoms, written as POSCAR:
```
Li8OsO6
1.0
2.6994 1.5585 5.0193
-2.6994 1.5585 5.0193
0.0000 -3.1170 5.0193
Li Os O
8 1 6
Direct
0.0141 0.3966 0.7346 Li
0.1600 0.1600 0.1600 Li
0.2654 0.9859 0.6034 Li
0.3966 0.7346 0.0141 Li
0.6034 0.2654 0.9859 Li
0.7346 0.0141 0.3966 Li
0.8400 0.8400 0.8400 Li
0.9859 0.6034 0.2654 Li
0.5000 0.5000 0.5000 Os
0.1132 0.7362 0.4110 O
0.2638 0.5890 0.8868 O
0.4110 0.1132 0.7362 O
0.5890 0.8868 0.2638 O
0.7362 0.4110 0.1132 O
0.8868 0.2638 0.5890 O
```

Results
* electronic total energy: -81.06 eV per cell

Below is an optimized crystal structure of Li3Os2O6, with properties calculated at the GGA-PBE level.

Cell and atoms, written as POSCAR:
```
Li3Os2O6
1.0
2.6172 -4.1589 0.0000
2.6172 4.1589 0.0000
-1.8160 0.0000 4.9000
Li Os O
3 2 6
Direct
0.0000 0.0000 0.0000 Li
0.4899 0.5101 0.5000 Li
0.8312 0.1688 0.5000 Li
0.3461 0.6539 0.0000 Os
0.6410 0.3590 0.0000 Os
0.0642 0.4188 0.2074 O
0.2416 0.2549 0.7296 O
0.4251 0.0834 0.2173 O
0.5812 0.9358 0.7926 O
0.7451 0.7584 0.2704 O
0.9166 0.5749 0.7827 O
```

Results
* excess energy over the best structure of this formula in the dataset: 0.031 eV/atom

Below is an optimized crystal structure of LiOsO3, with properties calculated at the GGA-PBE level.

Cell and atoms, written as POSCAR:
```
LiOsO3
1.0
2.5686 -4.2132 0.0000
2.5686 4.2132 0.0000
-1.5461 0.0000 4.8484
Li Os O
2 2 6
Direct
0.0000 0.0000 0.0000 Li
0.8300 0.1700 0.5000 Li
0.3497 0.6503 0.0000 Os
0.6377 0.3623 0.0000 Os
0.0507 0.4157 0.2053 O
0.2472 0.2600 0.7361 O
0.4213 0.0686 0.2125 O
0.5843 0.9493 0.7947 O
0.7400 0.7528 0.2639 O
0.9314 0.5787 0.7875 O
```

Results
* electronic total energy: -68.52 eV per cell

Below is an optimized crystal structure of LiOsO3, with properties calculated at the GGA-PBE level.

Cell and atoms, written as POSCAR:
```
LiOsO3
1.0
3.8779 0.0000 0.0000
0.0000 3.8779 0.0000
0.0000 0.0000 3.7744
Li Os O
1 1 3
Direct
0.0000 0.0000 0.0000 Li
0.5000 0.5000 0.7736 Os
0.0000 0.5000 0.7972 O
0.5000 0.0000 0.7972 O
0.5000 0.5000 0.2803 O
```

Results
* electronic total energy: -33.92 eV per cell

Below is an optimized crystal structure of Li6Os4O11, with properties calculated at the GGA-PBE level.

Cell and atoms, written as POSCAR:
```
Li6Os4O11
1.0
4.9132 0.0000 0.0000
0.7022 4.9369 0.0000
0.1121 2.0888 8.4570
Li Os O
6 4 11
Direct
0.0000 0.0000 0.0000 Li
0.0118 0.4948 0.6341 Li
0.2278 0.4866 0.0746 Li
0.4748 0.6123 0.4819 Li
0.4934 0.8681 0.1694 Li
0.7508 0.0208 0.5792 Li
0.2041 0.1684 0.4126 Os
0.4602 0.2562 0.8231 Os
0.6995 0.6046 0.8855 Os
0.7706 0.3043 0.2589 Os
0.0842 0.4187 0.8626 O
0.1197 0.8312 0.5344 O
0.1224 0.0931 0.2055 O
0.3608 0.2566 0.6052 O
0.3714 0.8330 0.9387 O
0.3936 0.4929 0.2831 O
0.5845 0.9798 0.3838 O
0.6238 0.2499 0.0484 O
0.7858 0.9842 0.7981 O
0.8518 0.6477 0.1114 O
0.8547 0.3862 0.4631 O
```

Results
* excess energy over the best structure of this formula in the dataset: 0.051 eV/atom

Below is an optimized crystal structure of LiOsO3, with properties calculated at the GGA-PBE level.

Cell and atoms, written as POSCAR:
```
LiOsO3
1.0
2.5060 -4.2433 0.0000
2.5060 4.2433 0.0000
-1.3394 0.0000 4.8404
Li Os O
2 2 6
Direct
0.1593 0.8407 0.0000 Li
0.8407 0.1593 0.0000 Li
0.3578 0.6422 0.5000 Os
0.6422 0.3578 0.5000 Os
0.0509 0.4245 0.7200 O
0.2612 0.2612 0.2323 O
0.4245 0.0509 0.7200 O
0.5755 0.9491 0.2800 O
0.7388 0.7388 0.7677 O
0.9491 0.5755 0.2800 O
```

Results
* electronic total energy: -68.93 eV per cell

Below is an optimized crystal structure of LiOsO4, with properties calculated at the GGA-PBE level.

Cell and atoms, written as POSCAR:
```
LiOsO4
1.0
4.6179 0.0000 0.0000
0.0000 5.5465 0.0000
-0.1799 0.0000 4.9583
Li Os O
2 2 8
Direct
0.0000 0.1655 0.2500 Li
0.0000 0.8345 0.7500 Li
0.5000 0.3265 0.7500 Os
0.5000 0.6735 0.2500 Os
0.2358 0.1268 0.6125 O
0.2358 0.8732 0.1125 O
0.2892 0.3915 0.0645 O
0.2892 0.6085 0.5645 O
0.7108 0.3915 0.4355 O
0.7108 0.6085 0.9355 O
0.7642 0.1268 0.8875 O
0.7642 0.8732 0.3875 O
```

Results
* excess energy over the best structure of this formula in the dataset: 0.000 eV/atom

Below is an optimized crystal structure of LiOsO3, with properties calculated at the GGA-PBE level.

Cell and atoms, written as POSCAR:
```
LiOsO3
1.0
3.2370 0.0000 0.0000
0.0000 3.2370 0.0000
0.0000 0.0000 4.8865
Li Os O
1 1 3
Direct
0.0000 0.0000 0.0000 Li
0.5000 0.5000 0.4287 Os
0.0000 0.0000 0.6285 O
0.0000 0.5000 0.2141 O
0.5000 0.0000 0.2141 O
```

Results
* electronic total energy: -31.05 eV per cell

Below is an optimized crystal structure of Li3Os2O6, with properties calculated at the GGA-PBE level.

Cell and atoms, written as POSCAR:
```
Li3Os2O6
1.0
2.5781 -4.2349 0.0000
2.5781 4.2349 0.0000
-1.5230 0.0000 4.8529
Li Os O
3 2 6
Direct
0.0000 0.0000 0.0000 Li
0.1680 0.8320 0.5000 Li
0.8320 0.1680 0.5000 Li
0.3564 0.6436 0.0000 Os
0.6436 0.3564 0.0000 Os
0.0537 0.4173 0.2164 O
0.2411 0.2411 0.7389 O
0.4173 0.0537 0.2164 O
0.5827 0.9463 0.7836 O
0.7589 0.7589 0.2611 O
0.9463 0.5827 0.7836 O
```

Results
* excess energy over the best structure of this formula in the dataset: 0.000 eV/atom

Below is an optimized crystal structure of LiOs2O6, with properties calculated at the GGA-PBE level.

Cell and atoms, written as POSCAR:
```
LiOs2O6
1.0
2.5990 -4.1627 0.0000
2.5990 4.1627 0.0000
-2.2172 0.0000 4.8271
Li Os O
1 2 6
Direct
0.0000 0.0000 0.0000 Li
0.1502 0.8498 0.5000 Os
0.8498 0.1502 0.5000 Os
0.0500 0.4063 0.2982 O
0.2351 0.2351 0.7857 O
0.4063 0.0500 0.2982 O
0.5937 0.9500 0.7018 O
0.7649 0.7649 0.2143 O
0.9500 0.5937 0.7018 O
```

Results
* excess energy over the best structure of this formula in the dataset: 0.010 eV/atom

Below is an optimized crystal structure of Li4OsO4, with properties calculated at the GGA-PBE level.

Cell and atoms, written as POSCAR:
```
Li4OsO4
1.0
4.2916 -3.3566 0.0000
4.2916 3.3566 0.0000
0.0000 0.0000 6.3681
Li Os O
8 2 8
Direct
0.0498 0.6637 0.7500 Li
0.3363 0.9502 0.7500 Li
0.3446 0.3446 0.0000 Li
0.3446 0.3446 0.5000 Li
0.6554 0.6554 0.0000 Li
0.6554 0.6554 0.5000 Li
0.6637 0.0498 0.2500 Li
0.9502 0.3363 0.2500 Li
0.1707 0.8293 0.2500 Os
0.8293 0.1707 0.7500 Os
0.1327 0.3043 0.7500 O
0.2755 0.7245 0.5229 O
0.2755 0.7245 0.9771 O
0.3043 0.1327 0.2500 O
0.6957 0.8673 0.7500 O
0.7245 0.2755 0.0229 O
0.7245 0.2755 0.4771 O
0.8673 0.6957 0.2500 O
```

Results
* electronic total energy: -103.63 eV per cell